PBE MgNi2H8Pb, relaxed; total DFT energy (no corrections) = -3.4869 eV per atom; Fermi-level density of states = 2.91 states/eV/f.u.; V = 10.04 Å³ per atom
1.0
4.5437 0.0000 0.0000
2.2718 3.9349 0.0000
2.2718 1.3116 6.7394
Mg Ni H Pb
1 2 8 1
direct
0.0000 0.0000 0.0000
0.3226 0.3226 0.0323
0.6774 0.6774 0.9677
0.2460 0.2460 0.2620
0.5443 0.3871 0.1422
0.7540 0.7540 0.7380
0.9264 0.5443 0.1422
0.0736 0.4557 0.8578
0.3871 0.9264 0.1422
0.6129 0.0736 0.8578
0.4557 0.6129 0.8578
0.5000 0.5000 0.5000

***

PBE Mn2AgOs, relaxed; total DFT energy (no corrections) = -7.2237 eV per atom; Fermi-level density of states = 5.14 states/eV/f.u.; formation enthalpy at 0 K = 0.881 eV per atom; V = 15.72 Å³ per atom
1.0
6.8371 0.0000 0.0000
0.0000 6.8371 0.0000
3.4185 3.4185 2.6900
Mn Os Ag
4 2 2
direct
0.6592 0.1250 0.2500
0.0908 0.6250 0.2500
0.3750 0.3408 0.7500
0.8750 0.9092 0.7500
0.0000 0.0000 0.0000
0.7500 0.2500 0.5000
0.5000 0.5000 0.0000
0.2500 0.7500 0.5000

***

Fermi-level density of states of number 1 (MgNi2H8Pb)? 2.91 states/eV/f.u.